(1)
Below is a geometry-optimized Nb2NiPt2 structure, with properties calculated at the PBE-GGA level.

POSCAR file:
```
Nb2NiPt2
1.0
7.026 0.000 0.000
0.000 7.026 0.000
0.000 0.000 3.440
Nb Ni Pt
4 2 4
direct
0.174 0.326 0.000 Nb
0.326 0.826 0.000 Nb
0.674 0.174 0.000 Nb
0.826 0.674 0.000 Nb
0.000 0.000 0.500 Ni
0.500 0.500 0.500 Ni
0.134 0.634 0.500 Pt
0.366 0.134 0.500 Pt
0.634 0.866 0.500 Pt
0.866 0.366 0.500 Pt
```

Results
calculated total energy = -78.4 eV/cell
ΔE_f = -0.24 eV per atom
calculated volume = 170 Å³/cell
energy above the most stable polymorph in this dataset = 239 meV/atom
DOS(E_F) = 4.02 states/eV/f.u.

(2)
Below is a geometry-optimized CaPm2Pr2 structure, with properties calculated at the PBE-GGA level.

POSCAR file:
```
CaPm2Pr2
1.0
5.803 0.000 0.000
0.000 3.620 0.000
-2.882 0.000 8.774
Ca Pm Pr
1 2 2
direct
0.000 0.000 0.000 Ca
0.386 0.500 0.774 Pm
0.614 0.500 0.226 Pm
0.203 0.000 0.406 Pr
0.797 0.000 0.594 Pr
```

Results
calculated total energy = -20.7 eV/cell
ΔE_f = 0.07 eV per atom
calculated volume = 184 Å³/cell
energy above the most stable polymorph in this dataset = 47 meV/atom
DOS(E_F) = 6.58 states/eV/f.u.

(3)
Below is a geometry-optimized Ba2UTiO6 structure, with properties calculated at the PBE-GGA level.

POSCAR file:
```
Ba2UTiO6
1.0
0.000 4.230 4.230
4.230 0.000 4.230
4.230 4.230 0.000
Ba U Ti O
2 1 1 6
direct
0.250 0.250 0.250 Ba
0.750 0.750 0.750 Ba
0.000 0.000 0.000 U
0.500 0.500 0.500 Ti
0.259 0.259 0.741 O
0.259 0.741 0.259 O
0.259 0.741 0.741 O
0.741 0.259 0.259 O
0.741 0.259 0.741 O
0.741 0.741 0.259 O
```

Results
calculated total energy = -83.6 eV/cell
formation energy (no corrections) = -3.0866 eV/atom
calculated volume = 151 Å³/cell
DOS(E_F) = 5.33 states/eV/f.u.